A relaxed ZrFe2Cl crystal. Source: the Alexandria database, functional PBE-GGA.

Values from the calculation:
space-group type	I-42d, No. 122
ΔE_f (raw)	298	meV/atom

a = 7.230 Å, b = 7.230 Å, c = 5.693 Å
α = 50.58°, β = 50.58°, γ = 90.00°
Site moments in Bohr magnetons follow the coordinates.
Atoms (fractional coordinates):
Zr (0.000, 0.000, 0.000)  -0.33
Zr (0.750, 0.250, 0.500)  -0.33
Fe (0.875, 0.828, 0.750)  2.63
Fe (0.375, 0.422, 0.750)  2.60
Fe (0.172, 0.625, 0.250)  2.64
Fe (0.578, 0.125, 0.250)  2.61
Cl (0.500, 0.500, 0.000)  0.06
Cl (0.250, 0.750, 0.500)  0.06

---

A relaxed CeThZn4 crystal. Source: the Alexandria database, functional PBE-GGA.

Values from the calculation:
space-group type	Immm, No. 71
formation energy from the elements	-26	kJ/mol of atoms

a = 4.613 Å, b = 5.748 Å, c = 5.748 Å
α = 73.08°, β = 66.34°, γ = 66.34°
Site moments in Bohr magnetons follow the coordinates.
Atoms (fractional coordinates):
Zn (0.334, 0.901, 0.431)  0.00
Zn (0.666, 0.569, 0.099)  0.00
Zn (0.334, 0.431, 0.901)  0.00
Zn (0.666, 0.099, 0.569)  0.00
Ce (0.000, 0.500, 0.500)  0.33
Th (0.000, 0.000, 0.000)  0.03

---

| no. | VASP energy (eV/atom) | offset from the most stable computed form (meV per atom) |
| --- | --- | --- |
| 1 | -6.532 | 459.8 |
| 2 | -3.348 | 0.0 |